# 1
Computed, not measured: crystalline Sc3HW at its relaxed geometry at the PBEsol level of DFT.

a = 4.3110 Å, b = 4.3110 Å, c = 4.3110 Å
α = 90.00°, β = 90.00°, γ = 90.00°
Fractional positions:
H 0.0000 0.0000 0.0000
Sc 0.0000 0.0000 0.5000
Sc 0.0000 0.5000 0.0000
Sc 0.5000 0.0000 0.0000
W 0.5000 0.5000 0.5000

***

# 2
Computed, not measured: crystalline YSc3H at its relaxed geometry at the PBEsol level of DFT.

a = 4.6085 Å, b = 4.6085 Å, c = 4.6085 Å
α = 90.00°, β = 90.00°, γ = 90.00°
Fractional positions:
Y 0.5000 0.5000 0.5000
H 0.0000 0.0000 0.0000
Sc 0.5000 0.0000 0.0000
Sc 0.0000 0.0000 0.5000
Sc 0.0000 0.5000 0.0000

***

# 3
Computed, not measured: crystalline YSc2H2 at its relaxed geometry at the PBEsol level of DFT.

a = 3.2546 Å, b = 3.2546 Å, c = 8.0962 Å
α = 101.60°, β = 101.60°, γ = 90.00°
Fractional positions:
Sc 0.3262 0.3262 0.6523
Sc 0.6738 0.6738 0.3477
H 0.7500 0.2500 0.5000
H 0.2500 0.7500 0.5000
Y 0.0000 0.0000 0.0000

***

# 4
Computed, not measured: crystalline YScH2 at its relaxed geometry at the PBEsol level of DFT.

a = 4.2058 Å, b = 4.2058 Å, c = 4.2058 Å
α = 60.00°, β = 60.00°, γ = 60.00°
Fractional positions:
Sc 0.0000 0.0000 0.0000
H 0.7500 0.7500 0.7500
H 0.2500 0.2500 0.2500
Y 0.5000 0.5000 0.5000

***

# 5
Computed, not measured: crystalline Zr2ScZnH at its relaxed geometry at the PBEsol level of DFT.

a = 3.1804 Å, b = 5.4089 Å, c = 5.4089 Å
α = 90.00°, β = 90.00°, γ = 90.00°
Fractional positions:
Zr 0.0000 0.0000 0.5000
Zr 0.0000 0.5000 0.0000
Sc 0.5000 0.5000 0.5000
Zn 0.0000 0.0000 0.0000
H 0.5000 0.0000 0.0000

***

# 6
Computed, not measured: crystalline ZrSc2ZnH at its relaxed geometry at the PBEsol level of DFT.

a = 5.0032 Å, b = 5.1140 Å, c = 5.1140 Å
α = 90.00°, β = 90.00°, γ = 90.00°
Fractional positions:
Sc 0.0000 0.5000 0.0000
Sc 0.0000 0.0000 0.5000
Zn 0.5000 0.0000 0.0000
Zr 0.0000 0.0000 0.0000
H 0.5000 0.5000 0.5000

***

# 7
Computed, not measured: crystalline ZrSc3H at its relaxed geometry at the PBEsol level of DFT.

a = 4.4801 Å, b = 4.4801 Å, c = 4.4801 Å
α = 90.00°, β = 90.00°, γ = 90.00°
Fractional positions:
Sc 0.5000 0.0000 0.0000
Sc 0.0000 0.5000 0.0000
Sc 0.0000 0.0000 0.5000
H 0.0000 0.0000 0.0000
Zr 0.5000 0.5000 0.5000

***

# 8
Computed, not measured: crystalline Zr2ScH at its relaxed geometry at the PBEsol level of DFT.

a = 5.6783 Å, b = 5.6783 Å, c = 5.6783 Å
α = 62.19°, β = 74.53°, γ = 105.47°
Fractional positions:
H 0.0000 0.5000 0.5000
H 0.5000 0.7500 0.7500
Zr 0.4025 0.6250 0.4725
Zr 0.5975 0.1250 0.7775
Zr 0.0975 0.4725 0.1250
Zr 0.9025 0.7775 0.6250
Sc 0.0000 0.0000 0.0000
Sc 0.5000 0.2500 0.2500

***

# 9
Computed, not measured: crystalline HSe at its relaxed geometry at the PBEsol level of DFT.

a = 4.5079 Å, b = 4.5079 Å, c = 5.2541 Å
α = 63.79°, β = 63.79°, γ = 74.71°
Fractional positions:
H 0.1432 0.4401 0.4459
H 0.5599 0.8568 0.5541
Se 0.5242 0.4097 0.2997
Se 0.5903 0.4758 0.7003

***

# 10
Computed, not measured: crystalline SrSn2HSe at its relaxed geometry at the PBEsol level of DFT.

a = 5.4778 Å, b = 5.4778 Å, c = 5.7892 Å
α = 90.00°, β = 90.00°, γ = 90.00°
Fractional positions:
Sr 0.0000 0.0000 0.5000
Sn 0.0000 0.5000 0.0000
Sn 0.5000 0.0000 0.0000
Se 0.0000 0.0000 0.0000
H 0.5000 0.5000 0.5000

***

# 11
Computed, not measured: crystalline SrH3Se at its relaxed geometry at the PBEsol level of DFT.

a = 4.0531 Å, b = 4.0531 Å, c = 4.0531 Å
α = 90.00°, β = 90.00°, γ = 90.00°
Fractional positions:
Sr 0.5000 0.5000 0.5000
H 0.0000 0.5000 0.0000
H 0.0000 0.0000 0.5000
H 0.5000 0.0000 0.0000
Se 0.0000 0.0000 0.0000

***

# 12
Computed, not measured: crystalline TeH2Se at its relaxed geometry at the PBEsol level of DFT.

a = 5.6118 Å, b = 5.6118 Å, c = 5.6118 Å
α = 60.00°, β = 60.00°, γ = 60.00°
Fractional positions:
H 0.6250 0.1250 0.1250
H 0.1250 0.1250 0.6250
H 0.1250 0.6250 0.1250
H 0.1250 0.1250 0.1250
Te 0.5000 0.5000 0.5000
Te 0.7500 0.7500 0.7500
Se 0.0000 0.0000 0.0000
Se 0.2500 0.2500 0.2500

***

Number 1: total energy -36.674 eV per formula unit, size of the total moment 0.00 Bohr magnetons per cell. Number 2: total energy -30.671 eV per formula unit, size of the total moment 0.00 Bohr magnetons per cell. Number 3: total energy -28.418 eV per formula unit, size of the total moment 0.00 Bohr magnetons per cell. Number 4: total energy -19.393 eV per formula unit, size of the total moment 0.01 Bohr magnetons per cell. Number 5: total energy -26.766 eV per formula unit, size of the total moment 0.00 Bohr magnetons per cell. Number 6: total energy -20.454 eV per formula unit, size of the total moment 0.00 Bohr magnetons per cell. Number 7: total energy -33.037 eV per formula unit, size of the total moment 0.00 Bohr magnetons per cell. Number 8: total energy -28.126 eV per formula unit, size of the total moment 0.00 Bohr magnetons per cell. Number 9: total energy -7.005 eV per formula unit, size of the total moment 0.00 Bohr magnetons per cell. Number 10: total energy -15.655 eV per formula unit, size of the total moment 0.00 Bohr magnetons per cell. Number 11: total energy -15.079 eV per formula unit, size of the total moment 0.00 Bohr magnetons per cell. Number 12: total energy -12.800 eV per formula unit, size of the total moment 0.00 Bohr magnetons per cell.